Entry from Alexandria via LeMat-Bulk: a relaxed BaRu3Se crystal (PBE-GGA).

abc: 5.1192 5.1192 5.1192
angles: 90.00 90.00 90.00
Last column: nearest neighbours and their distance in Å.
Space group Pm-3m (No. 221)
Symmetry-distinct sites (fractional):
1 Ba 0.0000 0.0000 0.0000 (multiplicity 1)  6 Ru 2.56
2 Ru 0.0000 0.0000 0.5000 (multiplicity 3)  2 Ba 2.56
3 Se 0.5000 0.5000 0.5000 (multiplicity 1)  12 Ru 3.62

Calculated values
The calculation puts the energy relative to the elements, uncorrected at 2.61 eV per atom. The value obtained for the excess energy over the best structure of this formula in the dataset is 2018 meV/atom.